A plane-wave DFT calculation with PBE was carried out for crystalline Nd2SmHo4Tm at its relaxed geometry.

## Properties
total energy = -4.208 eV/atom
M_tot = 1.84 μB per formula unit
space group = No. 15

abc: 9.511 9.511 6.799
angles: 110.93 110.93 88.40
Atoms (fractional coordinates):
Nd  0.000  0.000  0.000
Nd  0.000  0.000  0.500
Nd  0.000  0.500  0.000
Nd  0.500  0.000  0.500
Sm  0.000  0.500  0.500
Sm  0.500  0.000  0.000
Ho  0.255  0.256  0.506
Ho  0.255  0.744  0.500
Ho  0.256  0.255  0.006
Ho  0.256  0.745  0.000
Ho  0.744  0.255  0.000
Ho  0.744  0.745  0.994
Ho  0.745  0.256  0.500
Ho  0.745  0.744  0.494
Tm  0.500  0.500  0.000
Tm  0.500  0.500  0.500

***

A plane-wave DFT calculation with PBE was carried out for crystalline SrNb2TeF at its relaxed geometry.

## Properties
total energy = -4.574 eV/atom
M_tot = 6.48 μB per formula unit
space group = No. 123
formation energy (no corrections) = 0.792 eV/atom

abc: 5.707 5.707 4.320
angles: 90.00 90.00 90.00
Atoms (fractional coordinates):
Sr  0.000  0.000  0.000
Nb  0.000  0.500  0.000
Nb  0.500  0.000  0.000
Te  0.500  0.500  0.500
F  0.000  0.000  0.500